# Er5TmP6 GGA-PBE optimized geometry
data_Er5TmP6
_space_group_name_H-M_alt 'C 1 2/m 1'
_space_group_IT_number 12
_space_group_name_Hall '-C 2y'
_cell_length_a 6.8710
_cell_length_b 11.8949
_cell_length_c 6.8680
_cell_angle_alpha 90.00
_cell_angle_beta 109.49
_cell_angle_gamma 90.00
loop_
_atom_site_label
_atom_site_type_symbol
_atom_site_fract_x
_atom_site_fract_y
_atom_site_fract_z
Er1 Er 0.0000 0.0000 0.0000
Er2 Er 0.0000 0.1666 0.5000
Er3 Er 0.0000 0.3332 0.0000
Tm1 Tm 0.0000 0.5000 0.5000
P1 P 0.2495 0.3337 0.7495
P2 P 0.2494 0.5000 0.2503
# ΔH_f (0 K)	-1.61	eV per atom
# total energy	-6.59	eV per atom
# DOS at the Fermi energy	2.30	states/eV per cell